Entry 1:
# YP4 | Alexandria | PBE | relaxed
# - Spin magnetization: 0.0 μB/f.u.
# - Calculated formation energy: -458 meV/atom
# - Electronic total energy: -6.078 eV/atom
data_YP4
_chemical_formula_sum 'Y2 P8'
_cell_length_a 7.5684
_cell_length_b 7.5684
_cell_length_c 3.3470
_cell_angle_alpha 90.00
_cell_angle_beta 90.00
_cell_angle_gamma 90.00
_symmetry_space_group_name_H-M 'I 4/m'
_symmetry_Int_Tables_number 87
_symmetry_space_group_name_Hall '-I 4'
loop_
_atom_site_label
_atom_site_fract_x
_atom_site_fract_y
_atom_site_fract_z
Y1 0.0000 0.0000 0.0000
P1 0.1626 0.2930 0.5000

Entry 2:
# YP4 | Alexandria | PBE | relaxed
# - Spin magnetization: 0.0 μB/f.u.
# - Calculated formation energy: 376 meV/atom
# - Electronic total energy: -5.245 eV/atom
data_YP4
_chemical_formula_sum 'Y2 P8'
_cell_length_a 6.1478
_cell_length_b 6.1478
_cell_length_c 6.1478
_cell_angle_alpha 90.00
_cell_angle_beta 90.00
_cell_angle_gamma 90.00
_symmetry_space_group_name_H-M 'I m -3 m'
_symmetry_Int_Tables_number 229
_symmetry_space_group_name_Hall '-I 4 2 3'
loop_
_atom_site_label
_atom_site_fract_x
_atom_site_fract_y
_atom_site_fract_z
Y1 0.0000 0.0000 0.0000
P1 0.2500 0.2500 0.2500

spin magnetization of number 1 (YP4)? 0.0 μB/f.u.

Number 1 is which compound? YP4